This record from Alexandria via LeMat-Bulk describes a relaxed Pr4YPu3Te8 crystal. The functional is PBE.

```
data_Pr4YPu3Te8
_chemical_formula_sum 'Pr12 Y3 Pu9 Te24'
_space_group_name_H-M_alt 'R -3 m'
_space_group_IT_number 166
_space_group_name_Hall '-R 3 2"'
_cell_length_a 8.9086
_cell_length_b 8.9086
_cell_length_c 22.0872
_cell_angle_alpha 90.00
_cell_angle_beta 90.00
_cell_angle_gamma 120.00
loop_
_atom_site_label
_atom_site_type_symbol
_atom_site_fract_x
_atom_site_fract_y
_atom_site_fract_z
_atom_site_occupancy
Pr1 Pr 0.0000 0.0000 0.0000 1
Pr2 Pr 0.0000 0.5000 0.0000 1
Y1 Y 0.0000 0.0000 0.5000 1
Pu1 Pu 0.0000 0.5000 0.5000 1
Te1 Te 0.0000 0.0000 0.2471 1
Te2 Te 0.0020 0.5010 0.2467 1
```

Properties
- ΔE_f (raw) (eV/atom) = -1.312
- size of the total moment (μB/f.u.) = 17.81
- crystal system = trigonal
- calculated total energy (eV for the cell shown) = -344.104
- V (Å³ per atom) = 31.63


This record from Alexandria via LeMat-Bulk describes a relaxed Hf4SiP2 crystal. The functional is PBE.

```
data_Hf4SiP2
_chemical_formula_sum 'Hf16 Si4 P8'
_space_group_name_H-M_alt 'C m c m'
_space_group_IT_number 63
_space_group_name_Hall '-C 2c 2'
_cell_length_a 3.667
_cell_length_b 11.781
_cell_length_c 12.309
_cell_angle_alpha 90.00
_cell_angle_beta 90.00
_cell_angle_gamma 90.00
loop_
_atom_site_label
_atom_site_type_symbol
_atom_site_fract_x
_atom_site_fract_y
_atom_site_fract_z
_atom_site_occupancy
Hf1 Hf 0.000 0.000 0.000 1
Hf2 Hf 0.000 0.276 0.124 1
Hf3 Hf 0.000 0.438 0.750 1
Si1 Si 0.000 0.102 0.750 1
P1 P 0.000 0.361 0.562 1
```

Properties
- ΔE_f (raw) (eV/atom) = -0.939
- size of the total moment (μB/f.u.) = 0.00
- crystal system = orthorhombic
- calculated total energy (eV for the cell shown) = -250.507
- V (Å³ per atom) = 18.99


This record from Alexandria via LeMat-Bulk describes a relaxed InPt2Br crystal. The functional is PBE.

```
data_InPt2Br
_chemical_formula_sum 'In4 Pt8 Br4'
_space_group_name_H-M_alt 'F m -3 m'
_space_group_IT_number 225
_space_group_name_Hall '-F 4 2 3'
_cell_length_a 6.690
_cell_length_b 6.690
_cell_length_c 6.690
_cell_angle_alpha 90.00
_cell_angle_beta 90.00
_cell_angle_gamma 90.00
loop_
_atom_site_label
_atom_site_type_symbol
_atom_site_fract_x
_atom_site_fract_y
_atom_site_fract_z
_atom_site_occupancy
In1 In 0.000 0.000 0.000 1
Pt1 Pt 0.250 0.250 0.250 1
Br1 Br 0.000 0.000 0.500 1
```

Properties
- ΔE_f (raw) (eV/atom) = 0.219
- size of the total moment (μB/f.u.) = 0.00
- crystal system = cubic
- calculated total energy (eV for the cell shown) = -62.472
- V (Å³ per atom) = 18.71